## Ta2Be2Co5Tc (PBE)

Data for an optimized crystal structure of Ta2Be2Co5Tc.

Calculated values
**Raw total energy**: -7.91 eV/atom
**DOS at the Fermi energy**: 17.79 states/eV per cell
**Energy of formation**: -201 meV/atom
**Volume**: 232 Å³/cell

a = 8.3256 Å, b = 8.3256 Å, c = 3.3488 Å
α = 90.00°, β = 90.00°, γ = 90.00°
Atoms (fractional coordinates):
1 Ta 0.1793 0.3207 0.0000
2 Ta 0.3207 0.8207 0.0000
3 Ta 0.6793 0.1793 0.0000
4 Ta 0.8207 0.6793 0.0000
5 Be 0.1146 0.6146 0.0000
6 Be 0.3854 0.1146 0.0000
7 Be 0.6146 0.8854 0.0000
8 Be 0.8854 0.3854 0.0000
9 Co 0.0000 0.5000 0.5000
10 Co 0.0684 0.7880 0.5000
11 Co 0.2120 0.0684 0.5000
12 Co 0.2880 0.5684 0.5000
13 Co 0.4316 0.2880 0.5000
14 Co 0.5000 0.0000 0.5000
15 Co 0.5684 0.7120 0.5000
16 Co 0.7120 0.4316 0.5000
17 Co 0.7880 0.9316 0.5000
18 Co 0.9316 0.2120 0.5000
19 Tc 0.0000 0.0000 0.0000
20 Tc 0.5000 0.5000 0.0000